BaTiTlBi2 PBE optimized geometry; formation energy from the elements = -0.3112 eV per atom; calculated volume = 33.72 Å³ per atom; SG = P4/mmm; total energy = -21.5 eV/cell
1.0
-0.413 -2.553 4.900
5.466 0.527 0.736
-0.798 4.846 2.457
Tl Ba Ti Bi
1 1 1 2
direct
0.000 0.000 0.500 Tl
0.500 0.500 0.500 Ba
0.000 0.000 0.000 Ti
0.000 0.500 0.000 Bi
0.500 0.000 0.000 Bi